# GGA-PBE In2SiN, optimized geometry
# Relative energy among the computed polymorphs, meV per atom: 137
# Uncorrected energy, eV per cell: -38.4
# ρ, g/cm3: 5.54
# E_form (uncorrected), eV per formula unit: 0.013
data_In2SiN
_cell_length_a 6.4212
_cell_length_b 2.9046
_cell_length_c 9.4511
_cell_angle_alpha 90.00
_cell_angle_beta 112.58
_cell_angle_gamma 90.00
_space_group_name_H-M_alt 'P 1'
_space_group_IT_number 1
loop_
_space_group_symop_operation_xyz
'x,y,z'
loop_
_atom_site_label
_atom_site_fract_x
_atom_site_fract_y
_atom_site_fract_z
_atom_site_occupancy
N1 0.5391 0.5000 0.2079 1
N2 0.5391 0.0000 0.7079 1
In1 0.2141 0.5000 0.9416 1
In2 0.2141 0.0000 0.4416 1
In3 0.8414 0.5000 0.1125 1
In4 0.8414 0.0000 0.6125 1
Si1 0.5322 0.0000 0.3091 1
Si2 0.5322 0.5000 0.8091 1